(1)
Below is a relaxed SnI crystal, with properties calculated at the PBE level.

Cell: 5.075 5.821 6.501 Å, 106.75 90.06 106.01°
Atoms (fractional coordinates):
I  0.200  0.691  0.806
I  0.800  0.309  0.194
Sn  0.203  0.859  0.419
Sn  0.797  0.141  0.581

Computed properties:
- Size of the total moment: 0.000 μB per formula unit
- Mass density: 4.63 g/cm³
- Formation energy from raw total energies: -179 meV per atom
- SG: No. 2

(2)
Below is a relaxed NdSm6Ho8 crystal, with properties calculated at the PBE level.

Cell: 9.080 9.080 8.674 Å, 58.44 58.44 60.00°
Atoms (fractional coordinates):
Sm  0.228  0.538  0.128
Sm  0.107  0.228  0.128
Sm  0.538  0.107  0.128
Sm  0.772  0.462  0.872
Sm  0.462  0.893  0.872
Sm  0.893  0.772  0.872
Ho  0.424  0.424  0.729
Ho  0.281  0.888  0.575
Ho  0.112  0.745  0.425
Ho  0.745  0.719  0.425
Ho  0.255  0.281  0.575
Ho  0.576  0.576  0.271
Ho  0.888  0.255  0.575
Ho  0.719  0.112  0.425
Nd  0.000  0.000  0.000

Computed properties:
- Size of the total moment: 0.000 μB per formula unit
- Mass density: 7.96 g/cm³
- SG: No. 148
- ΔE_f: 0.13 eV/atom

(3)
Below is a relaxed Ca2In12Pt7 crystal, with properties calculated at the PBE level.

Cell: 4.150 11.294 11.294 Å, 120.00 90.00 90.00°
Atoms (fractional coordinates):
In  0.000  0.459  0.512
In  0.000  0.786  0.732
In  0.500  0.242  0.800
In  0.500  0.712  0.101
In  0.000  0.946  0.214
In  0.500  0.200  0.442
In  0.500  0.558  0.758
In  0.000  0.268  0.054
In  0.000  0.052  0.541
In  0.500  0.389  0.288
In  0.000  0.488  0.948
In  0.500  0.899  0.611
Pt  0.000  0.333  0.667
Pt  0.500  0.633  0.547
Pt  0.500  0.914  0.367
Pt  0.500  0.453  0.086
Pt  0.000  0.733  0.942
Pt  0.000  0.209  0.267
Pt  0.000  0.058  0.791
Ca  0.000  0.667  0.333
Ca  0.500  0.000  0.000

Computed properties:
- Size of the total moment: 0.000 μB per formula unit
- Mass density: 10.23 g/cm³
- SG: No. 174
- ΔE_f: -0.53 eV/atom

(4)
Below is a relaxed TaBeS crystal, with properties calculated at the PBE level.

Cell: 3.387 3.387 10.224 Å, 80.47 80.47 60.00°
Atoms (fractional coordinates):
Be  0.164  0.164  0.507
Be  0.836  0.836  0.493
Ta  0.556  0.556  0.331
Ta  0.444  0.444  0.669
S  0.273  0.273  0.180
S  0.727  0.727  0.820

Computed properties:
- Size of the total moment: 0.000 μB per formula unit
- Mass density: 7.40 g/cm³
- Formation energy from raw total energies: -649 meV per atom
- SG: No. 166

(5)
Below is a relaxed Sr2GaAu crystal, with properties calculated at the PBE level.

Cell: 4.283 4.283 10.546 Å, 78.28 78.28 60.00°
Atoms (fractional coordinates):
Ga  0.000  0.000  0.000
Sr  0.106  0.106  0.682
Sr  0.894  0.894  0.318
Au  0.500  0.500  0.500

Computed properties:
- Size of the total moment: 0.000 μB per formula unit
- Mass density: 4.51 g/cm³
- SG: No. 166
- ΔE_f: -0.14 eV/atom

(6)
Below is a relaxed Ac2Zn2Sn crystal, with properties calculated at the PBE level.

Cell: 4.577 6.539 10.968 Å, 81.54 77.95 69.51°
Atoms (fractional coordinates):
Zn  0.621  0.868  0.891
Zn  0.379  0.132  0.109
Zn  0.960  0.659  0.422
Zn  0.040  0.341  0.578
Ac  0.297  0.756  0.651
Ac  0.896  0.307  0.900
Ac  0.703  0.244  0.349
Ac  0.104  0.693  0.100
Sn  0.424  0.831  0.321
Sn  0.576  0.169  0.679

Computed properties:
- Size of the total moment: 0.000 μB per formula unit
- Mass density: 7.79 g/cm³
- SG: No. 12
- ΔE_f: -0.43 eV/atom
- Relative energy among the computed polymorphs: 4 kJ/mol of formula units

(7)
Below is a relaxed KPbSN2 crystal, with properties calculated at the PBE level.

Cell: 4.792 4.792 5.889 Å, 90.00 90.00 90.00°
Atoms (fractional coordinates):
S  0.000  0.000  0.500
N  0.500  0.000  0.000
N  0.000  0.500  0.000
K  0.000  0.000  0.000
Pb  0.500  0.500  0.500

Computed properties:
- Size of the total moment: 5.000 μB per formula unit
- Mass density: 3.76 g/cm³
- Formation energy from raw total energies: 1780 meV per atom
- SG: No. 123
- Relative energy among the computed polymorphs: 358 kJ/mol of formula units

(8)
Below is a relaxed RbCrPIr2 crystal, with properties calculated at the PBE level.

Cell: 4.544 5.263 4.544 Å, 90.00 90.00 90.00°
Atoms (fractional coordinates):
P  0.500  0.500  0.500
Ir  0.000  0.000  0.500
Ir  0.500  0.000  0.000
Rb  0.000  0.500  0.000
Cr  0.000  0.000  0.000

Computed properties:
- Size of the total moment: 0.041 μB per formula unit
- Mass density: 8.45 g/cm³
- SG: No. 123
- ΔE_f: 1.65 eV/atom

(9)
Below is a relaxed BaTaZn crystal, with properties calculated at the PBE level.

Cell: 6.593 6.593 6.593 Å, 152.03 144.46 45.82°
Atoms (fractional coordinates):
Zn  0.289  0.289  0.000
Ta  0.716  0.716  0.000
Ba  0.995  0.995  0.000

Computed properties:
- Size of the total moment: 0.000 μB per formula unit
- Mass density: 8.18 g/cm³
- SG: No. 44
- ΔE_f: 0.64 eV/atom
- Relative energy among the computed polymorphs: 19 kJ/mol of formula units

(10)
Below is a relaxed NaCaTmTl crystal, with properties calculated at the PBE level.

Cell: 5.454 5.454 5.454 Å, 60.00 60.00 60.00°
Atoms (fractional coordinates):
Na  0.000  0.000  0.000
Tl  0.500  0.500  0.500
Ca  0.250  0.250  0.250
Tm  0.750  0.750  0.750

Computed properties:
- Size of the total moment: 0.000 μB per formula unit
- Mass density: 6.32 g/cm³
- SG: No. 216
- ΔE_f: -0.09 eV/atom

(11)
Below is a relaxed Cs2MnAsBr6 crystal, with properties calculated at the PBE level.

Cell: 7.762 7.762 8.104 Å, 61.38 61.38 90.00°
Atoms (fractional coordinates):
Br  0.243  0.243  0.000
Br  0.757  0.243  0.000
Br  0.243  0.757  0.000
Br  0.291  0.291  0.419
Br  0.757  0.757  0.000
Br  0.709  0.709  0.581
Cs  0.250  0.750  0.500
Cs  0.750  0.250  0.500
Mn  0.500  0.500  0.000
As  0.000  0.000  0.000

Computed properties:
- Size of the total moment: 6.000 μB per formula unit
- Mass density: 4.05 g/cm³
- Formation energy from raw total energies: -997 meV per atom
- SG: No. 139

(12)
Below is a relaxed BeAlSe crystal, with properties calculated at the PBE level.

Cell: 4.082 5.280 5.716 Å, 104.56 92.69 92.70°
Atoms (fractional coordinates):
Be  0.834  0.006  0.910
Be  0.866  0.229  0.656
Se  0.062  0.633  0.883
Se  0.742  0.271  0.280
Al  0.329  0.969  0.667
Al  0.241  0.583  0.290

Computed properties:
- Size of the total moment: 0.000 μB per formula unit
- Mass density: 3.21 g/cm³
- Formation energy from raw total energies: -150 meV per atom
- SG: No. 1
- Relative energy among the computed polymorphs: 14 kJ/mol of formula units